No. 1
A relaxed Pm3AlAu3 crystal. Source: Alexandria, functional PBE.

Values from the calculation:
The density of states at the Fermi level comes out at 0.914 states/eV per atom. As for the total energy: -66.06 eV per cell.

Unit cell a=5.940 b=5.940 c=15.336 alpha=108.51 beta=108.51 gamma=42.74
Positions (direct):
Pm1 0.023 0.023 0.386
Pm2 0.100 0.100 0.920
Pm3 0.246 0.246 0.232
Pm4 0.754 0.754 0.768
Pm5 0.900 0.900 0.080
Pm6 0.977 0.977 0.614
Al1 0.264 0.264 0.600
Al2 0.736 0.736 0.400
Au1 0.360 0.360 0.454
Au2 0.376 0.376 0.923
Au3 0.469 0.469 0.762
Au4 0.531 0.531 0.238
Au5 0.624 0.624 0.077
Au6 0.640 0.640 0.546

No. 2
A relaxed CdPb2O crystal. Source: Alexandria, functional PBE.

Values from the calculation:
The density of states at the Fermi level comes out at 0.702 states/eV per atom. The uncorrected formation energy comes out at 0.125 eV per atom.

Unit cell a=5.033 b=5.033 c=5.033 alpha=60.00 beta=60.00 gamma=60.00
Positions (direct):
Cd1 0.000 0.000 0.000
Pb1 0.250 0.250 0.250
Pb2 0.750 0.750 0.750
O1 0.500 0.500 0.500

No. 3
A relaxed Ti2Zn5Ir crystal. Source: Alexandria, functional PBE.

Values from the calculation:
The density of states at the Fermi level comes out at 0.648 states/eV per atom. As for the total energy: -66.41 eV per cell.

Unit cell a=5.706 b=11.387 c=3.678 alpha=90.00 beta=90.00 gamma=90.00
Positions (direct):
Ti1 0.225 0.119 0.000
Ti2 0.275 0.619 0.000
Ti3 0.725 0.381 0.000
Ti4 0.775 0.881 0.000
Zn1 0.000 0.500 0.500
Zn2 0.027 0.753 0.500
Zn3 0.230 0.372 0.000
Zn4 0.270 0.872 0.000
Zn5 0.473 0.253 0.500
Zn6 0.500 0.000 0.500
Zn7 0.527 0.747 0.500
Zn8 0.730 0.128 0.000
Zn9 0.770 0.628 0.000
Zn10 0.973 0.247 0.500
Ir1 0.000 0.000 0.500
Ir2 0.500 0.500 0.500

No. 4
A relaxed KLi4Ir crystal. Source: Alexandria, functional PBE.

Values from the calculation:
The density of states at the Fermi level comes out at 0.124 states/eV per atom. As for the total energy: -15.61 eV per cell.

Unit cell a=5.369 b=5.369 c=5.369 alpha=60.00 beta=60.00 gamma=60.00
Positions (direct):
K1 0.000 0.000 0.000
Li1 0.138 0.621 0.621
Li2 0.621 0.138 0.621
Li3 0.621 0.621 0.138
Li4 0.621 0.621 0.621
Ir1 0.250 0.250 0.250

No. 5
A relaxed LiMo2Br crystal. Source: Alexandria, functional PBE.

Values from the calculation:
The density of states at the Fermi level comes out at 0.398 states/eV per atom. The uncorrected formation energy comes out at 0.602 eV per atom.

Unit cell a=6.054 b=6.054 c=6.054 alpha=149.96 beta=132.38 gamma=57.34
Positions (direct):
Li1 0.000 0.000 0.000
Mo1 0.360 0.860 0.500
Mo2 0.526 0.526 0.000
Br1 0.754 0.254 0.500

No. 6
A relaxed LiAlTe2N crystal. Source: Alexandria, functional PBE.

Values from the calculation:
The density of states at the Fermi level comes out at 0.484 states/eV per atom. The uncorrected formation energy comes out at -0.047 eV per atom.

Unit cell a=5.846 b=5.846 c=3.417 alpha=90.00 beta=90.00 gamma=90.00
Positions (direct):
Li1 0.000 0.000 0.000
Al1 0.500 0.500 0.500
Te1 0.000 0.500 0.500
Te2 0.500 0.000 0.500
N1 0.500 0.500 0.000

No. 7
A relaxed SmTc6 crystal. Source: Alexandria, functional PBE.

Values from the calculation:
The density of states at the Fermi level comes out at 0.873 states/eV per atom. As for the total energy: -61.13 eV per cell.

Unit cell a=5.866 b=5.866 c=5.866 alpha=109.47 beta=109.47 gamma=109.47
Positions (direct):
Sm1 0.000 0.000 0.000
Tc1 0.250 0.500 0.750
Tc2 0.250 0.750 0.500
Tc3 0.500 0.250 0.750
Tc4 0.500 0.750 0.250
Tc5 0.750 0.250 0.500
Tc6 0.750 0.500 0.250

No. 8
A relaxed Rb3SeF6 crystal. Source: Alexandria, functional PBE.

Values from the calculation:
The uncorrected formation energy comes out at -2.153 eV per atom.

Unit cell a=7.997 b=7.997 c=7.042 alpha=90.00 beta=90.00 gamma=75.92
Positions (direct):
Rb1 0.010 0.990 0.500
Rb2 0.132 0.428 0.415
Rb3 0.428 0.132 0.915
Rb4 0.572 0.868 0.415
Rb5 0.868 0.572 0.915
Rb6 0.990 0.010 0.000
Se1 0.372 0.628 0.802
Se2 0.628 0.372 0.302
F1 0.094 0.260 0.757
F2 0.133 0.678 0.732
F3 0.260 0.094 0.257
F4 0.298 0.702 0.043
F5 0.322 0.867 0.732
F6 0.411 0.589 0.528
F7 0.589 0.411 0.028
F8 0.678 0.133 0.232
F9 0.702 0.298 0.543
F10 0.740 0.906 0.757
F11 0.867 0.322 0.232
F12 0.906 0.740 0.257

No. 9
A relaxed PSeBr4 crystal. Source: Alexandria, functional PBE.

Values from the calculation:
The density of states at the Fermi level comes out at 1.844 states/eV per atom. The uncorrected formation energy comes out at 1.245 eV per atom.

Unit cell a=6.274 b=6.274 c=6.274 alpha=60.00 beta=60.00 gamma=60.00
Positions (direct):
P1 0.000 0.000 0.000
Se1 0.750 0.750 0.750
Br1 0.375 0.375 0.375
Br2 0.375 0.375 0.876
Br3 0.375 0.876 0.375
Br4 0.876 0.375 0.375

No. 10
A relaxed InTeCl6 crystal. Source: Alexandria, functional PBE.

Values from the calculation:
The density of states at the Fermi level comes out at 0.202 states/eV per atom. The uncorrected formation energy comes out at -0.686 eV per atom.

Unit cell a=6.473 b=6.760 c=7.061 alpha=63.43 beta=89.59 gamma=64.01
Positions (direct):
In1 0.000 0.000 0.000
Te1 0.500 0.000 0.500
Cl1 0.045 0.587 0.213
Cl2 0.266 0.822 0.756
Cl3 0.410 0.840 0.262
Cl4 0.590 0.160 0.738
Cl5 0.734 0.178 0.244
Cl6 0.955 0.413 0.787

No. 11
A relaxed CrCdRe2 crystal. Source: Alexandria, functional PBE.

Values from the calculation:
The density of states at the Fermi level comes out at 0.846 states/eV per atom. As for the total energy: -33.95 eV per cell.

Unit cell a=9.420 b=9.420 c=9.420 alpha=16.97 beta=16.97 gamma=16.97
Positions (direct):
Cr1 0.000 0.000 0.000
Cd1 0.247 0.247 0.247
Re1 0.487 0.487 0.487
Re2 0.743 0.743 0.743

No. 12
A relaxed SrTm2TcO8 crystal. Source: Alexandria, functional PBE.

Values from the calculation:
The density of states at the Fermi level comes out at 0.096 states/eV per atom. The uncorrected formation energy comes out at -2.355 eV per atom.

Unit cell a=4.774 b=5.002 c=7.065 alpha=90.01 beta=90.10 gamma=90.72
Positions (direct):
Sr1 0.000 0.000 0.000
Tm1 0.499 0.500 0.736
Tm2 0.501 0.500 0.264
Tc1 0.000 0.000 0.500
O1 0.222 0.849 0.308
O2 0.223 0.851 0.692
O3 0.249 0.311 0.499
O4 0.256 0.447 0.000
O5 0.744 0.553 0.000
O6 0.751 0.689 0.501
O7 0.777 0.149 0.308
O8 0.778 0.151 0.692

No. 13
A relaxed Ac3AsP2Pd9 crystal. Source: Alexandria, functional PBE.

Values from the calculation:
The density of states at the Fermi level comes out at 0.291 states/eV per atom. As for the total energy: -86.16 eV per cell.

Unit cell a=6.305 b=6.305 c=9.254 alpha=90.00 beta=90.00 gamma=120.00
Positions (direct):
Ac1 0.000 0.000 0.000
Ac2 0.333 0.667 0.648
Ac3 0.667 0.333 0.352
As1 0.000 0.000 0.500
P1 0.333 0.667 0.161
P2 0.667 0.333 0.839
Pd1 0.000 0.500 0.000
Pd2 0.163 0.327 0.310
Pd3 0.163 0.837 0.310
Pd4 0.327 0.163 0.690
Pd5 0.500 0.000 0.000
Pd6 0.500 0.500 0.000
Pd7 0.673 0.837 0.310
Pd8 0.837 0.163 0.690
Pd9 0.837 0.673 0.690

No. 14
A relaxed ZnTcSe2 crystal. Source: Alexandria, functional PBE.

Values from the calculation:
The density of states at the Fermi level comes out at 0.548 states/eV per atom. The uncorrected formation energy comes out at 0.016 eV per atom.

Unit cell a=5.042 b=3.987 c=3.987 alpha=74.46 beta=90.00 gamma=90.00
Positions (direct):
Zn1 0.000 0.000 0.000
Tc1 0.500 0.755 0.755
Se1 0.000 0.617 0.617
Se2 0.500 0.148 0.148

No. 15
A relaxed Ac2Sm13 crystal. Source: Alexandria, functional PBE.

Values from the calculation:
The density of states at the Fermi level comes out at 1.480 states/eV per atom. As for the total energy: -61.03 eV per cell.

Unit cell a=9.367 b=9.367 c=9.367 alpha=61.69 beta=61.69 gamma=61.69
Positions (direct):
Ac1 0.233 0.233 0.233
Ac2 0.767 0.767 0.767
Sm1 0.022 0.022 0.676
Sm2 0.022 0.676 0.022
Sm3 0.252 0.252 0.600
Sm4 0.252 0.600 0.252
Sm5 0.324 0.978 0.978
Sm6 0.400 0.748 0.748
Sm7 0.500 0.500 0.500
Sm8 0.600 0.252 0.252
Sm9 0.676 0.022 0.022
Sm10 0.748 0.400 0.748
Sm11 0.748 0.748 0.400
Sm12 0.978 0.324 0.978
Sm13 0.978 0.978 0.324

No. 16
A relaxed KNaBeTc2 crystal. Source: Alexandria, functional PBE.

Values from the calculation:
The density of states at the Fermi level comes out at 1.135 states/eV per atom. As for the total energy: -20.77 eV per cell.

Unit cell a=4.251 b=4.251 c=5.761 alpha=90.00 beta=90.00 gamma=90.00
Positions (direct):
K1 0.000 0.000 0.000
Na1 0.500 0.500 0.000
Be1 0.000 0.000 0.500
Tc1 0.000 0.500 0.500
Tc2 0.500 0.000 0.500

No. 17
A relaxed AgSbSe4 crystal. Source: Alexandria, functional PBE.

Values from the calculation:
The density of states at the Fermi level comes out at 0.305 states/eV per atom. The uncorrected formation energy comes out at 0.562 eV per atom.

Unit cell a=5.775 b=5.775 c=5.775 alpha=60.00 beta=60.00 gamma=60.00
Positions (direct):
Ag1 0.000 0.000 0.000
Sb1 0.750 0.750 0.750
Se1 0.374 0.374 0.374
Se2 0.374 0.374 0.878
Se3 0.374 0.878 0.374
Se4 0.878 0.374 0.374

No. 18
A relaxed RuSeI2O crystal. Source: Alexandria, functional PBE.

Values from the calculation:
The density of states at the Fermi level comes out at 1.269 states/eV per atom. The uncorrected formation energy comes out at 0.113 eV per atom.

Unit cell a=5.539 b=5.539 c=3.741 alpha=90.00 beta=90.00 gamma=90.00
Positions (direct):
Ru1 0.000 0.000 0.000
Se1 0.500 0.500 0.500
I1 0.000 0.500 0.000
I2 0.500 0.000 0.000
O1 0.000 0.000 0.500

No. 19
A relaxed KHfCO5 crystal. Source: Alexandria, functional PBE.

Values from the calculation:
The density of states at the Fermi level comes out at 0.384 states/eV per atom. The uncorrected formation energy comes out at -1.883 eV per atom.

Unit cell a=5.659 b=5.659 c=7.439 alpha=106.01 beta=106.01 gamma=104.95
Positions (direct):
K1 0.087 0.913 0.750
K2 0.913 0.087 0.250
Hf1 0.000 0.500 0.000
Hf2 0.500 0.000 0.500
C1 0.443 0.557 0.750
C2 0.557 0.443 0.250
O1 0.181 0.819 0.250
O2 0.288 0.347 0.130
O3 0.299 0.602 0.874
O4 0.347 0.288 0.630
O5 0.398 0.701 0.626
O6 0.602 0.299 0.374
O7 0.653 0.712 0.370
O8 0.701 0.398 0.126
O9 0.712 0.653 0.870
O10 0.819 0.181 0.750

No. 20
A relaxed Te3AsC crystal. Source: Alexandria, functional PBE.

Values from the calculation:
The density of states at the Fermi level comes out at 1.254 states/eV per atom. The uncorrected formation energy comes out at 1.861 eV per atom.

Unit cell a=5.426 b=5.426 c=5.426 alpha=90.00 beta=90.00 gamma=90.00
Positions (direct):
Te1 0.000 0.000 0.500
Te2 0.000 0.500 0.000
Te3 0.500 0.000 0.000
As1 0.000 0.000 0.000
C1 0.500 0.500 0.500

No. 21
A relaxed SmGdDyTm crystal. Source: Alexandria, functional PBE.

Values from the calculation:
The density of states at the Fermi level comes out at 2.107 states/eV per atom. As for the total energy: -27.42 eV per cell.

Unit cell a=5.671 b=5.671 c=5.671 alpha=60.00 beta=60.00 gamma=60.00
Positions (direct):
Sm1 0.000 0.000 0.000
Gd1 0.500 0.500 0.500
Dy1 0.750 0.750 0.750
Tm1 0.250 0.250 0.250

No. 22
A relaxed HoTm5Tl3 crystal. Source: Alexandria, functional PBE.

Values from the calculation:
The density of states at the Fermi level comes out at 1.067 states/eV per atom. As for the total energy: -72.45 eV per cell.

Unit cell a=9.258 b=9.258 c=6.653 alpha=90.00 beta=90.00 gamma=120.00
Positions (direct):
Ho1 0.000 0.000 0.000
Ho2 0.000 0.000 0.500
Tm1 0.000 0.333 0.250
Tm2 0.000 0.667 0.750
Tm3 0.333 0.000 0.250
Tm4 0.333 0.333 0.750
Tm5 0.333 0.667 0.000
Tm6 0.333 0.667 0.500
Tm7 0.667 0.000 0.750
Tm8 0.667 0.333 0.000
Tm9 0.667 0.333 0.500
Tm10 0.667 0.667 0.250
Tl1 0.000 0.334 0.750
Tl2 0.000 0.666 0.250
Tl3 0.334 0.000 0.750
Tl4 0.334 0.334 0.250
Tl5 0.666 0.000 0.250
Tl6 0.666 0.666 0.750

No. 23
A relaxed Zr2Cd2Sn crystal. Source: Alexandria, functional PBE.

Values from the calculation:
The density of states at the Fermi level comes out at 1.085 states/eV per atom. As for the total energy: -45.70 eV per cell.

Unit cell a=7.497 b=7.497 c=4.359 alpha=90.00 beta=90.00 gamma=90.00
Positions (direct):
Zr1 0.145 0.355 0.000
Zr2 0.355 0.855 0.000
Zr3 0.645 0.145 0.000
Zr4 0.855 0.645 0.000
Cd1 0.153 0.653 0.500
Cd2 0.347 0.153 0.500
Cd3 0.653 0.847 0.500
Cd4 0.847 0.347 0.500
Sn1 0.000 0.000 0.000
Sn2 0.500 0.500 0.000

Number 1: density 10.13 g/cm3, calculated volume 345.3 Å³ per cell. Number 2: density 10.00 g/cm3, calculated volume 90.1 Å³ per cell. Number 3: density 8.55 g/cm3, calculated volume 238.9 Å³ per cell. Number 4: density 3.93 g/cm3, calculated volume 109.4 Å³ per cell. Number 5: density 5.68 g/cm3, calculated volume 81.5 Å³ per cell. Number 6: density 4.31 g/cm3, calculated volume 116.8 Å³ per cell. Number 7: density 7.89 g/cm3, calculated volume 155.4 Å³ per cell. Number 8: density 3.42 g/cm3, calculated volume 436.9 Å³ per cell. Number 9: density 4.09 g/cm3, calculated volume 174.6 Å³ per cell. Number 10: density 3.13 g/cm3, calculated volume 241.4 Å³ per cell. Number 11: density 14.35 g/cm3, calculated volume 62.1 Å³ per cell. Number 12: density 6.41 g/cm3, calculated volume 168.7 Å³ per cell. Number 13: density 9.26 g/cm3, calculated volume 318.6 Å³ per cell. Number 14: density 6.91 g/cm3, calculated volume 77.2 Å³ per cell. Number 15: density 6.63 g/cm3, calculated volume 603.2 Å³ per cell. Number 16: density 4.26 g/cm3, calculated volume 104.1 Å³ per cell. Number 17: density 6.65 g/cm3, calculated volume 136.2 Å³ per cell. Number 18: density 6.51 g/cm3, calculated volume 114.8 Å³ per cell. Number 19: density 5.01 g/cm3, calculated volume 205.2 Å³ per cell. Number 20: density 4.88 g/cm3, calculated volume 159.8 Å³ per cell. Number 21: density 8.23 g/cm3, calculated volume 129.0 Å³ per cell. Number 22: density 10.91 g/cm3, calculated volume 493.9 Å³ per cell. Number 23: density 7.13 g/cm3, calculated volume 245.0 Å³ per cell.